[1]
Compound: AsO2
Source: the Alexandria database
Functional: PBE
Structure: relaxed

Raw total energy, eV per atom: -5.977
Energy relative to the elements, uncorrected, eV per atom: -1.121
ρ, g/cm3: 3.91

The structure in CIF format:
```
data_AsO2
_space_group_name_H-M_alt 'P n m a'
_space_group_IT_number 62
_cell_length_a 9.020
_cell_length_b 5.319
_cell_length_c 7.581
_cell_angle_alpha 90.00
_cell_angle_beta 90.00
_cell_angle_gamma 90.00
loop_
_space_group_symop_operation_xyz
'x,y,z'
'-x,-y,-z'
'-x+1/2,-y,z+1/2'
'x+1/2,y,-z+1/2'
'x+1/2,-y+1/2,-z+1/2'
'-x+1/2,y+1/2,z+1/2'
'-x,y+1/2,-z'
'x,-y+1/2,z'
loop_
_atom_site_label
_atom_site_type_symbol
_atom_site_fract_x
_atom_site_fract_y
_atom_site_fract_z
As1 As 0.081 0.250 0.171
As2 As 0.241 0.750 0.304
O1 O 0.082 0.750 0.932
O2 O 0.098 0.505 0.316
O3 O 0.247 0.250 0.048
```



[2]
Compound: Dy4TlGeSe2
Source: the Alexandria database
Functional: PBE
Structure: relaxed

Raw total energy, eV per atom: -5.210
Energy relative to the elements, uncorrected, eV per atom: -1.164
ρ, g/cm3: 8.69

The structure in CIF format:
```
data_Dy4TlGeSe2
_space_group_name_H-M_alt 'I -4 m 2'
_space_group_IT_number 119
_space_group_name_Hall 'I -4 -2'
_cell_length_a 5.917
_cell_length_b 5.917
_cell_length_c 11.844
_cell_angle_alpha 90.00
_cell_angle_beta 90.00
_cell_angle_gamma 90.00
loop_
_atom_site_label
_atom_site_type_symbol
_atom_site_fract_x
_atom_site_fract_y
_atom_site_fract_z
Dy1 Dy 0.000 0.000 0.242
Dy2 Dy 0.000 0.500 0.002
Tl1 Tl 0.000 0.000 0.500
Ge1 Ge 0.000 0.500 0.250
Se1 Se 0.000 0.000 0.000
Se2 Se 0.000 0.500 0.750
```



[3]
Compound: AgGeAs3
Source: the Alexandria database
Functional: PBE
Structure: relaxed

Distance to the lowest polymorph of the same formula, kJ/mol of formula units: 52
Raw total energy, eV per atom: -3.325
Formation energy, eV per atom: 0.96
ρ, g/cm3: 5.36

The structure in CIF format:
```
data_AgGeAs3
_space_group_name_H-M_alt 'P m -3 m'
_space_group_IT_number 221
_space_group_name_Hall '-P 4 2 3'
_cell_length_a 5.007
_cell_length_b 5.007
_cell_length_c 5.007
_cell_angle_alpha 90.00
_cell_angle_beta 90.00
_cell_angle_gamma 90.00
loop_
_atom_site_label
_atom_site_type_symbol
_atom_site_fract_x
_atom_site_fract_y
_atom_site_fract_z
Ag1 Ag 0.000 0.000 0.000
Ge1 Ge 0.500 0.500 0.500
As1 As 0.000 0.000 0.500
```



[4]
Compound: SrCuCl6
Source: the Alexandria database
Functional: PBE
Structure: relaxed

Raw total energy, eV per atom: -3.050
Energy relative to the elements, uncorrected, eV per atom: -0.943
ρ, g/cm3: 2.85

The structure in CIF format:
```
data_SrCuCl6
_space_group_name_H-M_alt 'P -1'
_space_group_IT_number 2
_cell_length_a 6.108
_cell_length_b 6.113
_cell_length_c 6.174
_cell_angle_alpha 104.81
_cell_angle_beta 98.59
_cell_angle_gamma 102.86
loop_
_space_group_symop_operation_xyz
'x,y,z'
'-x,-y,-z'
loop_
_atom_site_label
_atom_site_type_symbol
_atom_site_fract_x
_atom_site_fract_y
_atom_site_fract_z
Sr1 Sr 0.000 0.000 0.000
Cu1 Cu 0.500 0.000 0.500
Cl1 Cl 0.161 0.657 0.193
Cl2 Cl 0.254 0.173 0.663
Cl3 Cl 0.498 0.213 0.259
```



[5]
Compound: Sm12Co6Pt
Source: the Alexandria database
Functional: PBE
Structure: relaxed

Raw total energy, eV per atom: -5.743
Formation energy, eV per atom: -0.20
ρ, g/cm3: 8.44

The structure in CIF format:
```
data_Sm12Co6Pt
_space_group_name_H-M_alt 'I m -3'
_space_group_IT_number 204
_space_group_name_Hall '-I 2 2 3'
_cell_length_a 9.747
_cell_length_b 9.747
_cell_length_c 9.747
_cell_angle_alpha 90.00
_cell_angle_beta 90.00
_cell_angle_gamma 90.00
loop_
_atom_site_label
_atom_site_type_symbol
_atom_site_fract_x
_atom_site_fract_y
_atom_site_fract_z
Sm1 Sm 0.000 0.192 0.300
Co1 Co 0.000 0.386 0.500
Pt1 Pt 0.000 0.000 0.000
```



[6]
Compound: CuSb3P
Source: the Alexandria database
Functional: PBE
Structure: relaxed

Distance to the lowest polymorph of the same formula, kJ/mol of formula units: 52
Raw total energy, eV per atom: -3.513
Energy relative to the elements, uncorrected, eV per atom: 0.862
ρ, g/cm3: 5.51

The structure in CIF format:
```
data_CuSb3P
_space_group_name_H-M_alt 'P m -3 m'
_space_group_IT_number 221
_space_group_name_Hall '-P 4 2 3'
_cell_length_a 5.176
_cell_length_b 5.176
_cell_length_c 5.176
_cell_angle_alpha 90.00
_cell_angle_beta 90.00
_cell_angle_gamma 90.00
loop_
_atom_site_label
_atom_site_type_symbol
_atom_site_fract_x
_atom_site_fract_y
_atom_site_fract_z
Cu1 Cu 0.000 0.000 0.000
Sb1 Sb 0.000 0.500 0.500
P1 P 0.500 0.500 0.500
```



[7]
Compound: Ho2MnGa2Ru5
Source: the Alexandria database
Functional: PBE
Structure: relaxed

Raw total energy, eV per atom: -7.311
Formation energy, eV per atom: -0.24
ρ, g/cm3: 10.38

The structure in CIF format:
```
data_Ho2MnGa2Ru5
_space_group_name_H-M_alt 'P 4/m b m'
_space_group_IT_number 127
_space_group_name_Hall '-P 4 2ab'
_cell_length_a 9.940
_cell_length_b 9.940
_cell_length_c 3.335
_cell_angle_alpha 90.00
_cell_angle_beta 90.00
_cell_angle_gamma 90.00
loop_
_atom_site_label
_atom_site_type_symbol
_atom_site_fract_x
_atom_site_fract_y
_atom_site_fract_z
Ho1 Ho 0.170 0.330 0.000
Mn1 Mn 0.000 0.000 0.000
Ga1 Ga 0.130 0.630 0.000
Ru1 Ru 0.000 0.500 0.500
Ru2 Ru 0.062 0.808 0.500
```



[8]
Compound: Tl3As5I12
Source: the Alexandria database
Functional: PBE
Structure: relaxed

Raw total energy, eV per atom: -2.475
Energy relative to the elements, uncorrected, eV per atom: -0.028
ρ, g/cm3: 4.53

The structure in CIF format:
```
data_Tl3As5I12
_space_group_name_H-M_alt 'I a -3 d'
_space_group_IT_number 230
_space_group_name_Hall '-I 4bd 2c 3'
_cell_length_a 19.456
_cell_length_b 19.456
_cell_length_c 19.456
_cell_angle_alpha 90.00
_cell_angle_beta 90.00
_cell_angle_gamma 90.00
loop_
_atom_site_label
_atom_site_type_symbol
_atom_site_fract_x
_atom_site_fract_y
_atom_site_fract_z
Tl1 Tl 0.000 0.250 0.125
As1 As 0.000 0.000 0.000
As2 As 0.000 0.250 0.375
I1 I 0.035 0.041 0.643
```